Entry 1:
First-principles (PBE-GGA) data for Be2BiPd2 after structural relaxation, as listed in Alexandria via LeMat-Bulk.

Output
The calculation puts the density of states at the Fermi level at 0.378 states/eV/atom. Its energy is -4.470 eV/atom. For the energy above the lowest structure with this stoichiometry, the calculation gives 53 meV per atom. The calculation puts the energy of formation at -0.629 eV per formula unit.

Unit cell a=5.6187 b=5.6187 c=5.6187 alpha=137.76 beta=137.76 gamma=61.27
Closest atoms and distances in Å follow each position.
Atoms (fractional coordinates):
Be: 0.1287 0.1287 0.0000  4 Pd 2.34, 1 Be 2.49
Be: 0.8713 0.8713 0.0000  4 Pd 2.34, 1 Be 2.49
Bi: 0.5000 0.5000 0.0000  8 Be 3.12, 8 Pd 3.15
Pd: 0.2500 0.7500 0.5000  4 Be 2.34
Pd: 0.7500 0.2500 0.5000  4 Be 2.34

Entry 2:
First-principles (PBE-GGA) data for Be3BiPd after structural relaxation, as listed in Alexandria via LeMat-Bulk.

Output
The calculation puts the density of states at the Fermi level at 0.268 states/eV/atom. Its energy is -3.671 eV/atom. For the energy above the lowest structure with this stoichiometry, the calculation gives 0 meV per atom. The calculation puts the energy of formation at 1.900 eV per formula unit.

Unit cell a=4.3594 b=4.3594 c=4.3594 alpha=90.00 beta=90.00 gamma=90.00
Closest atoms and distances in Å follow each position.
Atoms (fractional coordinates):
Be: 0.0000 0.0000 0.5000  2 Pd 2.18
Be: 0.0000 0.5000 0.0000  2 Pd 2.18
Be: 0.5000 0.0000 0.0000  2 Pd 2.18
Bi: 0.5000 0.5000 0.5000  12 Be 3.08
Pd: 0.0000 0.0000 0.0000  6 Be 2.18

Entry 3:
First-principles (PBE-GGA) data for Be3BiPd after structural relaxation, as listed in Alexandria via LeMat-Bulk.

Output
The calculation puts the density of states at the Fermi level at 0.657 states/eV/atom. Its energy is -2.538 eV/atom. For the energy above the lowest structure with this stoichiometry, the calculation gives 1132 meV per atom. The calculation puts the energy of formation at 7.561 eV per formula unit.

Unit cell a=4.6617 b=4.6617 c=4.6617 alpha=90.00 beta=90.00 gamma=90.00
Closest atoms and distances in Å follow each position.
Atoms (fractional coordinates):
Be: 0.0000 0.0000 0.5000  2 Bi 2.33
Be: 0.0000 0.5000 0.0000  2 Bi 2.33
Be: 0.5000 0.0000 0.0000  2 Bi 2.33
Bi: 0.0000 0.0000 0.0000  6 Be 2.33
Pd: 0.5000 0.5000 0.5000  12 Be 3.30

What did the second record say?
First-principles (PBE-GGA) data for Be3BiPd after structural relaxation, as listed in Alexandria via LeMat-Bulk.

Output
The calculation puts the density of states at the Fermi level at 0.268 states/eV/atom. Its energy is -3.671 eV/atom. For the energy above the lowest structure with this stoichiometry, the calculation gives 0 meV per atom. The calculation puts the energy of formation at 1.900 eV per formula unit.

Unit cell a=4.3594 b=4.3594 c=4.3594 alpha=90.00 beta=90.00 gamma=90.00
Closest atoms and distances in Å follow each position.
Atoms (fractional coordinates):
Be: 0.0000 0.0000 0.5000  2 Pd 2.18
Be: 0.0000 0.5000 0.0000  2 Pd 2.18
Be: 0.5000 0.0000 0.0000  2 Pd 2.18
Bi: 0.5000 0.5000 0.5000  12 Be 3.08
Pd: 0.0000 0.0000 0.0000  6 Be 2.18

> Among the records above, which one has the lowest energy above the lowest structure with this stoichiometry?

number 2

Repeat the second record exactly.
First-principles (PBE-GGA) data for Be3BiPd after structural relaxation, as listed in Alexandria via LeMat-Bulk.

Output
The calculation puts the density of states at the Fermi level at 0.268 states/eV/atom. Its energy is -3.671 eV/atom. For the energy above the lowest structure with this stoichiometry, the calculation gives 0 meV per atom. The calculation puts the energy of formation at 1.900 eV per formula unit.

Unit cell a=4.3594 b=4.3594 c=4.3594 alpha=90.00 beta=90.00 gamma=90.00
Closest atoms and distances in Å follow each position.
Atoms (fractional coordinates):
Be: 0.0000 0.0000 0.5000  2 Pd 2.18
Be: 0.0000 0.5000 0.0000  2 Pd 2.18
Be: 0.5000 0.0000 0.0000  2 Pd 2.18
Bi: 0.5000 0.5000 0.5000  12 Be 3.08
Pd: 0.0000 0.0000 0.0000  6 Be 2.18

> Among the records above, which one has the highest energy above the lowest structure with this stoichiometry?

number 3